VASP calculation (GGA-PBE) on crystalline PrSm2Dy6Mg at its relaxed geometry.

For the formation energy, the calculation gives 10.8 kJ per mole of atoms. The raw total energy is -4.2307 eV per atom. Its space group is C2/c (15). The density of states at the Fermi level comes out at 1.495 states/eV per atom.

Structure (extended XYZ):
```
20
Lattice="6.5859 -0.7445 -0.7726 1.5938 10.3136 -3.3610 1.5938 -3.7409 10.1820" Properties=species:S:1:pos:R:3 pbc="T T T"
Pr 3.2403 10.0082 -3.4391
Pr 6.5333 -4.1799 9.4876
Sm 5.6360 5.6043 3.4931
Sm 7.4305 2.1731 -0.0677
Sm 4.1376 0.2240 2.5553
Sm 2.3431 3.6552 6.1162
Dy 1.6040 -2.1052 7.7493
Dy 4.8767 -1.6215 8.2513
Dy 8.1696 7.9335 -1.7009
Dy 4.8969 7.4498 -2.2029
Dy 3.9924 7.5967 1.1341
Dy 2.4882 5.3487 -1.1988
Dy 5.7812 -1.7685 4.9143
Dy 7.2854 0.4796 7.2472
Dy 2.0718 5.2612 2.9533
Dy 4.4088 3.4442 1.0677
Dy 7.7018 0.5670 3.0951
Dy 5.3648 2.3841 4.9808
Mg 3.2403 0.1794 6.0319
Mg 6.5333 5.6488 0.0165
```

---

VASP calculation (GGA-PBE) on crystalline Pr3Sm2Dy6Mg at its relaxed geometry.

For the formation energy, the calculation gives 2.7 kJ per mole of atoms. The raw total energy is -4.3873 eV per atom. Its space group is C2/m (12). The density of states at the Fermi level comes out at 1.473 states/eV per atom.

Structure (extended XYZ):
```
12
Lattice="6.1992 -0.0024 0.0157 -3.1002 5.3683 0.0157 -1.0650 -1.8440 11.6624" Properties=species:S:1:pos:R:3 pbc="T T T"
Pr -2.0876 3.5540 5.8469
Pr 4.1217 -0.0321 5.8469
Pr 1.0170 1.7610 5.8469
Sm 0.0025 3.5764 0.0157
Sm 3.0965 1.7895 0.0157
Dy 3.0721 1.7577 8.8174
Dy 2.0615 3.5695 2.9015
Dy -1.0380 1.7643 2.8765
Dy -0.0128 3.5393 8.8174
Dy -0.0275 -0.0476 8.7923
Dy 2.0469 -0.0174 2.8765
Mg 0.0000 0.0000 0.0000
```

---

VASP calculation (GGA-PBE) on crystalline TbPrDy2Mg at its relaxed geometry.

For the formation energy, the calculation gives 1.6 kJ per mole of atoms. The raw total energy is -4.0246 eV per atom. Its space group is P2_1/m (11). The density of states at the Fermi level comes out at 1.533 states/eV per atom.

Structure (extended XYZ):
```
10
Lattice="-0.8955 -5.1165 2.1609 5.7310 -1.6743 -1.5895 5.8798 1.9872 7.1421" Properties=species:S:1:pos:R:3 pbc="T T T"
Tb 4.5651 -2.6725 -0.7745
Tb 6.1502 -2.1311 8.4879
Pr 4.9447 -3.2126 5.4275
Pr 5.7706 -1.5910 2.2860
Dy 8.3436 -3.5155 6.1189
Dy 2.3717 -1.2881 1.5946
Dy 3.4398 -0.1059 4.8366
Dy 7.2754 -4.6978 2.8769
Mg 3.7459 -4.4192 2.0738
Mg 6.9693 -0.3844 5.6397
```

---

VASP calculation (GGA-PBE) on crystalline Tb2Pr3Dy6Mg at its relaxed geometry.

For the formation energy, the calculation gives 3.2 kJ per mole of atoms. The raw total energy is -4.3676 eV per atom. Its space group is C2/m (12). The density of states at the Fermi level comes out at 1.470 states/eV per atom.

Structure (extended XYZ):
```
12
Lattice="-3.2068 0.5258 -5.2691 -2.9343 -1.2703 5.3010 0.6932 11.6170 1.9561" Properties=species:S:1:pos:R:3 pbc="T T T"
Tb -3.0253 -0.6709 1.7738
Tb -3.1159 -0.0735 -1.7420
Pr -2.6330 4.8363 4.5249
Pr -2.8150 6.0363 -2.5370
Pr -2.7240 5.4363 0.9940
Dy -4.1472 8.5160 -0.2535
Dy -4.4270 2.2901 0.5033
Dy -1.3008 2.3566 2.2414
Dy -4.0567 7.9194 3.2576
Dy -1.0209 8.5825 1.4846
Dy -1.3913 2.9532 -1.2697
Mg 0.0000 0.0000 0.0000
```

---

VASP calculation (GGA-PBE) on crystalline Tb2Pr2Dy2Mg at its relaxed geometry.

For the formation energy, the calculation gives 8.6 kJ per mole of atoms. The raw total energy is -4.1420 eV per atom. Its space group is C2/m (12). The density of states at the Fermi level comes out at 1.229 states/eV per atom.

Structure (extended XYZ):
```
7
Lattice="-1.4836 0.3094 -3.3414 6.2405 -0.8958 -0.8394 -6.4703 -9.4821 1.9948" Properties=species:S:1:pos:R:3 pbc="T T T"
Tb -2.0906 -6.1696 -1.6575
Tb 0.3772 -3.8989 -0.5285
Pr -5.2515 -6.9733 -0.3284
Pr 3.5381 -3.0952 -1.8576
Dy 0.6769 -0.9297 -2.4010
Dy -2.3903 -9.1388 0.2150
Mg -3.2352 -4.7411 0.9974
```

---

VASP calculation (GGA-PBE) on crystalline TbPr2DyMg at its relaxed geometry.

For the formation energy, the calculation gives 15.2 kJ per mole of atoms. The raw total energy is -3.9197 eV per atom. Its space group is Pmma (51). The density of states at the Fermi level comes out at 1.342 states/eV per atom.

Structure (extended XYZ):
```
10
Lattice="-0.4377 -6.4407 -3.4599 7.2478 -1.2693 1.4459 -1.4869 -2.6525 5.1257" Properties=species:S:1:pos:R:3 pbc="T T T"
Tb -0.6462 -4.7017 -0.8881
Tb -1.2784 -4.3915 2.5539
Pr 3.7647 -7.3475 2.4872
Pr 0.6478 -6.8017 1.8655
Pr 4.6754 -3.5607 1.2462
Pr 1.5585 -3.0149 0.6244
Dy 2.4440 -3.5761 4.0558
Dy 2.8792 -6.7863 -0.9441
Mg 0.0000 0.0000 0.0000
Mg -0.7435 -1.3263 2.5629
```